This record from the Alexandria database describes crystalline SrCa2PdO5 at its relaxed geometry. The functional is GGA-PBE.

The value obtained for the electronic total energy is -6.017 eV per atom.

The structure belongs to space group Immm (No. 71); the cell edges are 3.884, 5.730 and 11.280 Å and the angles 90.00°, 90.00° and 90.00°. Symmetry generates all atoms from Sr at (0.000, 0.000, 0.000), Ca at (0.000, 0.500, 0.210), Pd at (0.000, 0.000, 0.500), O at (0.000, 0.244, 0.367) and O at (0.000, 0.500, 0.000).



This record from the Alexandria database describes crystalline CaTbPdO4 at its relaxed geometry. The functional is GGA-PBE.

The value obtained for the electronic total energy is -6.722 eV per atom.

The structure belongs to space group Imma (No. 74); the cell edges are 7.017, 7.322 and 7.834 Å and the angles 90.00°, 90.00° and 90.00°. Symmetry generates all atoms from Ca at (0.000, 0.250, 0.184), Tb at (0.250, 0.250, 0.750), Pd at (0.000, 0.000, 0.500), O at (0.000, 0.051, 0.758) and O at (0.190, 0.250, 0.460).



This record from the Alexandria database describes crystalline CaTb2PdO5 at its relaxed geometry. The functional is GGA-PBE.

The value obtained for the electronic total energy is -7.185 eV per atom.

The structure belongs to space group P4/mbm (No. 127); the cell edges are 6.495, 6.495 and 5.818 Å and the angles 90.00°, 90.00° and 90.00°. Symmetry generates all atoms from Ca at (0.000, 0.000, 0.000), Tb at (0.173, 0.327, 0.500), Pd at (0.000, 0.500, 0.000), O at (0.000, 0.000, 0.500) and O at (0.147, 0.647, 0.252).



This record from the Alexandria database describes crystalline Ca2TcPdO6 at its relaxed geometry. The functional is GGA-PBE.

The value obtained for the electronic total energy is -6.616 eV per atom.

The structure belongs to space group P4mm (No. 99); the cell edges are 5.530, 5.530 and 4.425 Å and the angles 90.00°, 90.00° and 90.00°. Symmetry generates all atoms from Ca at (0.000, 0.500, 0.000), Tc at (0.000, 0.000, 0.575), Pd at (0.500, 0.500, 0.604), O at (0.000, 0.000, 0.160), O at (0.234, 0.234, 0.685) and O at (0.500, 0.500, 0.123).



This record from the Alexandria database describes crystalline Ca2TcPdO at its relaxed geometry. The functional is GGA-PBE.

The value obtained for the electronic total energy is -5.304 eV per atom.

The structure belongs to space group P4/mmm (No. 123); the cell edges are 4.624, 4.624 and 4.422 Å and the angles 90.00°, 90.00° and 90.00°. Symmetry generates all atoms from Ca at (0.000, 0.500, 0.000), Tc at (0.000, 0.000, 0.500), Pd at (0.500, 0.500, 0.500) and O at (0.500, 0.500, 0.000).



This record from the Alexandria database describes crystalline Ca2TlPdO4 at its relaxed geometry. The functional is GGA-PBE.

The value obtained for the electronic total energy is -5.514 eV per atom.

The structure belongs to space group P2/m (No. 10); the cell edges are 6.397, 3.261 and 6.468 Å and the angles 90.00°, 117.39° and 90.00°. Symmetry generates all atoms from Ca at (0.000, 0.000, 0.000), Ca at (0.000, 0.500, 0.500), Tl at (0.500, 0.000, 0.000), Pd at (0.500, 0.500, 0.500), O at (0.189, 0.500, 0.897) and O at (0.263, 0.000, 0.446).



This record from the Alexandria database describes crystalline CaTm2PdO5 at its relaxed geometry. The functional is GGA-PBE.

The value obtained for the electronic total energy is -7.197 eV per atom.

The structure belongs to space group P4/mbm (No. 127); the cell edges are 6.366, 6.366 and 5.791 Å and the angles 90.00°, 90.00° and 90.00°. Symmetry generates all atoms from Ca at (0.000, 0.000, 0.000), Tm at (0.173, 0.327, 0.500), Pd at (0.000, 0.500, 0.000), O at (0.000, 0.000, 0.500) and O at (0.147, 0.647, 0.256).



This record from the Alexandria database describes crystalline CaUPdO6 at its relaxed geometry. The functional is GGA-PBE.

The value obtained for the electronic total energy is -7.574 eV per atom.

The structure belongs to space group P-31c (No. 163); the cell edges are 5.3781, 5.3781 and 10.2823 Å and the angles 90.00°, 90.00° and 120.00°. Symmetry generates all atoms from Ca at (0.0000, 0.0000, 0.0000), U at (0.3333, 0.6667, 0.2500), Pd at (0.3333, 0.6667, 0.7500) and O at (0.0073, 0.3594, 0.6405).



Number 1: mass density 4.7 Mg/m³, spin magnetization 0.00 μB/f.u.. Number 2: mass density 6.1 Mg/m³, spin magnetization 0.00 μB/f.u.. Number 3: mass density 7.4 Mg/m³, spin magnetization 0.00 μB/f.u.. Number 4: mass density 4.7 Mg/m³, spin magnetization 0.32 μB/f.u.. Number 5: mass density 5.3 Mg/m³, spin magnetization 2.88 μB/f.u.. Number 6: mass density 6.3 Mg/m³, spin magnetization 0.00 μB/f.u.. Number 7: mass density 8.0 Mg/m³, spin magnetization 0.00 μB/f.u.. Number 8: mass density 6.2 Mg/m³, spin magnetization 0.00 μB/f.u..